Entry from Alexandria: an optimized crystal structure of LaMg9Al2 (GGA-PBE).

Output
DFT total energy (eV per atom): -2.292
ΔH_f (0 K) (eV/atom): -0.061
Mass density (Mg/m³): 2.4
Crystal system: tetragonal
V (Å³/atom): 23.3

a b c (Å): 12.0277 12.0277 7.7281
angles (deg): 90.00 90.00 90.00
Last column: nearest neighbours and their distance in Å.
Space group I4_1/amd (No. 141, origin choice 2)
Symmetry-distinct sites (fractional):
La  0.0000  0.2500  0.3750 (multiplicity 4)  18 Mg 3.67-3.91
Mg  0.0000  0.2500  0.8750 (multiplicity 4)  4 Al 3.16, 8 Mg 3.20
Mg  0.1217  0.0498  0.6801 (multiplicity 32)  2 Al 2.91-2.93, 6 Mg 2.93-3.20
Al  0.0000  0.0000  0.0000 (multiplicity 8)  10 Mg 2.91-3.16